Record 1
Ca2HoWN4 | the Alexandria database | PBE | optimized geometry; uncorrected formation energy = -103 kJ per mole of atoms
1.0
5.7411 0.0000 0.0000
0.0000 3.2762 0.0000
-1.8791 0.0000 5.5723
Ca Ho W N
2 1 1 4
Direct
0.0000 0.0000 0.0000 Ca
0.5000 0.5000 0.0000 Ca
0.0000 0.5000 0.5000 Ho
0.5000 0.0000 0.5000 W
0.2739 0.0000 0.7118 N
0.2785 0.5000 0.2833 N
0.7215 0.5000 0.7167 N
0.7261 0.0000 0.2882 N

Record 2
K5Pb2S4 | the Alexandria database | PBE | optimized geometry; uncorrected formation energy = -80 kJ per mole of atoms
1.0
8.5670 -2.4008 0.0000
8.5670 2.4008 0.0000
-4.5489 0.0000 9.0898
K Pb S
5 2 4
Direct
0.0000 0.0000 0.0000 K
0.2340 0.2340 0.1204 K
0.3631 0.3631 0.5679 K
0.6369 0.6369 0.4321 K
0.7660 0.7660 0.8796 K
0.0625 0.0625 0.6903 Pb
0.9375 0.9375 0.3097 Pb
0.2101 0.2101 0.6633 S
0.4245 0.4245 0.1463 S
0.5755 0.5755 0.8537 S
0.7899 0.7899 0.3367 S

Record 3
ZnCu2Au | the Alexandria database | PBE | optimized geometry; VASP energy = -3.26 eV per atom
1.0
2.7043 -3.7617 0.0000
2.7043 3.7617 0.0000
0.0000 0.0000 2.8041
Zn Cu Au
1 2 1
Direct
0.0000 0.0000 0.0000 Zn
0.0000 0.5000 0.5000 Cu
0.5000 0.0000 0.5000 Cu
0.5000 0.5000 0.0000 Au